Material: YErBi2
Method: DFT, GGA-PBE
State: optimized geometry

## Properties
For the volume, the calculation gives 31.46 Å³/atom. As for the space group: No. 59. For the energy of formation from the pure elements, the calculation gives -0.856 eV/atom. The density of states at the Fermi level is 1.2 states/eV per cell. The value obtained for the offset from the most stable computed form is 0 meV per atom.

Geometry as POSCAR:
```
YErBi2
1.0
-4.012 1.720 0.940
-2.119 -1.856 -5.649
-2.525 -7.812 3.513
Y Er Bi
2 2 4
Direct
0.000 0.500 0.875
0.500 0.000 0.125
0.500 0.000 0.625
0.000 0.500 0.375
0.000 0.000 0.873
0.000 0.000 0.377
0.500 0.500 0.623
0.500 0.500 0.127
```